LaSc2B2, relaxed, DFT PBE; magnetization = 0.0 μB per formula unit; DFT total energy = -5.9950 eV/atom
1.0
7.470 0.000 0.000
0.000 7.470 0.000
0.000 0.000 3.156
La Sc B
2 4 4
direct
0.000 0.000 0.000 La
0.500 0.500 0.000 La
0.140 0.360 0.500 Sc
0.360 0.860 0.500 Sc
0.640 0.140 0.500 Sc
0.860 0.640 0.500 Sc
0.164 0.664 0.000 B
0.336 0.164 0.000 B
0.664 0.836 0.000 B
0.836 0.336 0.000 B



LaSc2B2, relaxed, DFT PBE; magnetization = 0.0 μB per formula unit; DFT total energy = -6.1304 eV/atom
1.0
-2.181 2.181 5.175
2.181 -2.181 5.175
2.181 2.181 -5.175
La Sc B
1 2 2
direct
0.000 0.000 0.000 La
0.332 0.332 0.000 Sc
0.668 0.668 0.000 Sc
0.250 0.750 0.500 B
0.750 0.250 0.500 B



LaScB2, relaxed, DFT PBE; magnetization = 0.0 μB per formula unit; DFT total energy = -5.8199 eV/atom
1.0
0.000 3.220 3.220
3.220 0.000 3.220
3.220 3.220 0.000
La Sc B
1 1 2
direct
0.000 0.000 0.000 La
0.500 0.500 0.500 Sc
0.250 0.250 0.250 B
0.750 0.750 0.750 B



LaSc2B, relaxed, DFT PBE; magnetization = 0.0 μB per formula unit; DFT total energy = -5.5817 eV/atom
1.0
-3.492 3.492 4.957
3.492 -3.492 4.957
3.492 3.492 -4.957
La Sc B
2 4 2
direct
0.000 0.000 0.000 La
0.750 0.250 0.500 La
0.372 0.625 0.247 Sc
0.375 0.622 0.747 Sc
0.378 0.125 0.753 Sc
0.875 0.628 0.253 Sc
0.250 0.750 0.500 B
0.500 0.500 0.000 B



LaScB2, relaxed, DFT PBE; magnetization = 0.0 μB per formula unit; DFT total energy = -5.5010 eV/atom
1.0
-2.395 2.395 7.354
2.395 -2.395 7.354
2.395 2.395 -7.354
La Sc B
2 2 4
direct
0.000 0.000 0.000 La
0.750 0.250 0.500 La
0.250 0.750 0.500 Sc
0.500 0.500 0.000 Sc
0.226 0.625 0.101 B
0.375 0.476 0.601 B
0.524 0.125 0.899 B
0.875 0.774 0.399 B



LaScB12, relaxed, DFT PBE; magnetization = 0.0 μB per formula unit; DFT total energy = -6.9110 eV/atom
1.0
4.119 0.000 0.000
0.000 4.119 0.000
0.000 0.000 8.219
La Sc B
1 1 12
direct
0.000 0.000 0.000 La
0.000 0.000 0.500 Sc
0.199 0.500 0.253 B
0.199 0.500 0.747 B
0.500 0.199 0.253 B
0.500 0.199 0.747 B
0.500 0.500 0.101 B
0.500 0.500 0.402 B
0.500 0.500 0.598 B
0.500 0.500 0.899 B
0.500 0.801 0.253 B
0.500 0.801 0.747 B
0.801 0.500 0.253 B
0.801 0.500 0.747 B



LaSc2B2, relaxed, DFT PBE; magnetization = 0.1 μB per formula unit; DFT total energy = -6.2667 eV/atom
1.0
-2.060 2.060 5.184
2.060 -2.060 5.184
2.060 2.060 -5.184
La Sc B
1 2 2
direct
0.000 0.000 0.000 La
0.250 0.750 0.500 Sc
0.750 0.250 0.500 Sc
0.418 0.418 0.000 B
0.582 0.582 0.000 B



LaScSi2B, relaxed, DFT PBE; raw formation energy = 645 kJ/mol of formula units; magnetization = 0.9 μB per formula unit; DFT total energy = -4.4197 eV/atom
1.0
4.931 0.000 0.000
0.000 4.931 0.000
0.000 0.000 5.435
La Sc Si B
1 1 2 1
direct
0.000 0.000 0.000 La
0.000 0.000 0.500 Sc
0.000 0.500 0.500 Si
0.500 0.000 0.500 Si
0.500 0.500 0.000 B



La2ScBW, relaxed, DFT PBE; magnetization = 0.0 μB per formula unit; DFT total energy = -5.9438 eV/atom
1.0
5.461 0.000 0.000
0.000 5.461 0.000
0.000 0.000 5.075
La Sc B W
2 1 1 1
direct
0.000 0.500 0.000 La
0.500 0.000 0.000 La
0.000 0.000 0.500 Sc
0.500 0.500 0.500 B
0.000 0.000 0.000 W



LaB2Se, relaxed, DFT PBE; raw formation energy = 185 kJ/mol of formula units; magnetization = 0.0 μB per formula unit; DFT total energy = -4.9633 eV/atom
1.0
-3.221 3.221 3.378
3.221 -3.221 3.378
3.221 3.221 -3.378
La B Se
2 4 2
direct
0.000 0.000 0.000 La
0.750 0.250 0.500 La
0.205 0.625 0.080 B
0.375 0.455 0.580 B
0.545 0.125 0.920 B
0.875 0.795 0.420 B
0.250 0.750 0.500 Se
0.500 0.500 0.000 Se



LaB3Se, relaxed, DFT PBE; raw formation energy = 1156 kJ/mol of formula units; magnetization = 0.0 μB per formula unit; DFT total energy = -3.2933 eV/atom
1.0
4.944 0.000 0.000
0.000 4.944 0.000
0.000 0.000 4.944
La B Se
1 3 1
direct
0.000 0.000 0.000 La
0.000 0.000 0.500 B
0.000 0.500 0.000 B
0.500 0.000 0.000 B
0.500 0.500 0.500 Se



La2BSe, relaxed, DFT PBE; raw formation energy = -173 kJ/mol of formula units; magnetization = 1.1 μB per formula unit; DFT total energy = -5.4527 eV/atom
1.0
0.000 3.596 3.596
3.596 0.000 3.596
3.596 3.596 0.000
La B Se
2 1 1
direct
0.250 0.250 0.250 La
0.750 0.750 0.750 La
0.000 0.000 0.000 B
0.500 0.500 0.500 Se



Question: What is the magnetization in the tenth record?
Answer: 0.0 μB per formula unit



Question: DFT total energy of number 1 (LaSc2B2)?
Answer: -5.9950 eV/atom



Question: The highest DFT total energy belongs to which entry?
Answer: LaB3Se



Please write out number 2 again, unchanged.
LaSc2B2, relaxed, DFT PBE; magnetization = 0.0 μB per formula unit; DFT total energy = -6.1304 eV/atom
1.0
-2.181 2.181 5.175
2.181 -2.181 5.175
2.181 2.181 -5.175
La Sc B
1 2 2
direct
0.000 0.000 0.000 La
0.332 0.332 0.000 Sc
0.668 0.668 0.000 Sc
0.250 0.750 0.500 B
0.750 0.250 0.500 B